# 1
Crystalline Sm2Ho3Ge4 at its relaxed geometry. Source: Alexandria, functional PBE-GGA.

Calculated values
As for the total energy: -99.1 eV for the cell shown.

abc: 7.633 7.949 7.829
angles: 90.00 90.00 111.59
Fractional positions:
1 Sm 0.564 0.197 0.319
2 Sm 0.936 0.803 0.819
3 Sm 0.436 0.803 0.681
4 Sm 0.064 0.197 0.181
5 Ho 0.000 0.500 0.500
6 Ho 0.500 0.500 0.000
7 Ho 0.732 0.239 0.836
8 Ho 0.768 0.761 0.336
9 Ho 0.268 0.761 0.164
10 Ho 0.232 0.239 0.664
11 Ge 0.830 0.087 0.538
12 Ge 0.670 0.913 0.038
13 Ge 0.170 0.913 0.462
14 Ge 0.330 0.087 0.962
15 Ge 0.870 0.492 0.131
16 Ge 0.630 0.508 0.631
17 Ge 0.130 0.508 0.869
18 Ge 0.370 0.492 0.369

# 2
Crystalline Rb2ScSiAs at its relaxed geometry. Source: Alexandria, functional PBE-GGA.

Calculated values
As for the uncorrected formation energy: 0.809 eV per atom.

abc: 7.053 4.923 7.053
angles: 90.00 90.00 90.00
Last column: magnetic moment on the atom in μB.
Fractional positions:
1 Sc 0.000 0.000 0.000  -0.14
2 As 0.500 0.500 0.500  0.80
3 Si 0.000 0.500 0.000  0.05
4 Rb 0.000 0.000 0.500  -0.01
5 Rb 0.500 0.000 0.000  0.00

# 3
Crystalline Hf2SnMoBr at its relaxed geometry. Source: Alexandria, functional PBE-GGA.

Calculated values
As for the uncorrected formation energy: 0.553 eV per atom.

abc: 5.085 5.244 5.085
angles: 90.00 90.00 90.00
Fractional positions:
1 Mo 0.000 0.000 0.000
2 Hf 0.000 0.000 0.500
3 Hf 0.500 0.000 0.000
4 Sn 0.000 0.500 0.000
5 Br 0.500 0.500 0.500

# 4
Crystalline KHIr3 at its relaxed geometry. Source: Alexandria, functional PBE-GGA.

Calculated values
For the relative energy among the computed polymorphs, the calculation gives 0.0 meV/atom.

abc: 4.128 4.128 4.128
angles: 90.00 90.00 90.00
Fractional positions:
1 H 0.000 0.000 0.000
2 K 0.500 0.500 0.500
3 Ir 0.000 0.500 0.000
4 Ir 0.000 0.000 0.500
5 Ir 0.500 0.000 0.000

# 5
Crystalline LaPr4Tm3S8 at its relaxed geometry. Source: Alexandria, functional PBE-GGA.

Calculated values
As for the uncorrected formation energy: -2.001 eV per atom.

abc: 7.964 8.112 7.964
angles: 119.39 120.00 90.00
Fractional positions:
1 La 0.000 0.500 0.000
2 Pr 0.500 0.000 0.000
3 Pr 0.500 0.000 0.500
4 Pr 0.000 0.000 0.000
5 Pr 0.000 0.000 0.500
6 Tm 0.500 0.500 0.000
7 Tm 0.500 0.500 0.500
8 Tm 0.000 0.500 0.500
9 S 0.250 0.732 0.982
10 S 0.250 0.732 0.500
11 S 0.259 0.276 0.517
12 S 0.732 0.732 0.982
13 S 0.268 0.268 0.018
14 S 0.741 0.724 0.483
15 S 0.750 0.268 0.500
16 S 0.750 0.268 0.018

# 6
Crystalline AlNiGe3 at its relaxed geometry. Source: Alexandria, functional PBE-GGA.

Calculated values
For the relative energy among the computed polymorphs, the calculation gives 0.0 meV/atom.

abc: 4.621 4.621 4.621
angles: 90.00 90.00 90.00
Fractional positions:
1 Ni 0.000 0.000 0.000
2 Ge 0.000 0.500 0.000
3 Ge 0.000 0.000 0.500
4 Ge 0.500 0.000 0.000
5 Al 0.500 0.500 0.500

# 7
Crystalline SrTaIr3 at its relaxed geometry. Source: Alexandria, functional PBE-GGA.

Calculated values
For the relative energy among the computed polymorphs, the calculation gives 0.0 meV/atom.

abc: 4.872 4.872 4.872
angles: 90.00 90.00 90.00
Fractional positions:
1 Sr 0.500 0.500 0.500
2 Ir 0.000 0.500 0.000
3 Ir 0.000 0.000 0.500
4 Ir 0.500 0.000 0.000
5 Ta 0.000 0.000 0.000

# 8
Crystalline La2Tc2Pb at its relaxed geometry. Source: Alexandria, functional PBE-GGA.

Calculated values
As for the total energy: -69.0 eV for the cell shown.

abc: 7.319 7.319 4.687
angles: 90.00 90.00 90.00
Fractional positions:
1 Pb 0.000 0.000 0.000
2 Pb 0.500 0.500 0.000
3 Tc 0.391 0.891 0.000
4 Tc 0.891 0.609 0.000
5 Tc 0.609 0.109 0.000
6 Tc 0.109 0.391 0.000
7 La 0.181 0.681 0.500
8 La 0.681 0.819 0.500
9 La 0.819 0.319 0.500
10 La 0.319 0.181 0.500

In μB per formula unit, the spin magnetization values for the records above are, in order, 0.00, 1.76, 0.00, 0.00, 0.00, 0.00, 0.00, 0.00.